VASP calculation (PBE) on a geometry-optimized BaHg2Au2 structure.

Summary:
**Energy of formation**: -0.259 eV per atom
**E above lowest polymorph**: 0.199 eV/atom
**Electronic total energy**: -2.08 eV per atom
**Symmetry**: No. 127

a b c (Å): 8.201 8.201 4.081
angles (deg): 90.00 90.00 90.00
Fractional positions:
Au1 0.378 0.878 0.000
Au2 0.878 0.622 0.000
Au3 0.622 0.122 0.000
Au4 0.122 0.378 0.000
Hg1 0.167 0.667 0.500
Hg2 0.667 0.833 0.500
Hg3 0.833 0.333 0.500
Hg4 0.333 0.167 0.500
Ba1 0.000 0.000 0.000
Ba2 0.500 0.500 0.000